1.
A plane-wave DFT calculation with PBE-GGA was carried out for a geometry-optimized PmTiPd structure.

extended XYZ file:
```
6
Lattice="3.397 0.000 0.000 0.000 3.397 0.000 0.000 0.000 11.052" Properties=species:S:1:pos:R:3 pbc="T T T"
Pm 0.000 0.000 1.905
Pm 0.000 0.000 9.147
Ti 1.699 1.699 4.136
Ti 1.699 1.699 6.916
Pd 0.000 0.000 5.526
Pd 1.699 1.699 0.000
```

Calculated values
- energy (eV per atom) = -6.207
- volume (Å³/f.u.) = 64

---

2.
A plane-wave DFT calculation with PBE-GGA was carried out for a geometry-optimized Pm3TiPd12 structure.

extended XYZ file:
```
16
Lattice="4.126 0.000 0.000 0.000 4.126 0.000 0.000 0.000 16.452" Properties=species:S:1:pos:R:3 pbc="T T T"
Pm 0.000 0.000 0.000
Pm 0.000 0.000 4.232
Pm 0.000 0.000 12.220
Ti 0.000 0.000 8.226
Pd 0.000 2.063 2.129
Pd 0.000 2.063 6.413
Pd 0.000 2.063 10.039
Pd 0.000 2.063 14.323
Pd 2.063 0.000 2.129
Pd 2.063 0.000 6.413
Pd 2.063 0.000 10.039
Pd 2.063 0.000 14.323
Pd 2.063 2.063 0.000
Pd 2.063 2.063 4.269
Pd 2.063 2.063 8.226
Pd 2.063 2.063 12.183
```

Calculated values
- energy (eV per atom) = -6.029
- volume (Å³/f.u.) = 280

---

3.
A plane-wave DFT calculation with PBE-GGA was carried out for a geometry-optimized PmTiPd2 structure.

extended XYZ file:
```
4
Lattice="0.000 3.407 3.407 3.407 0.000 3.407 3.407 3.407 0.000" Properties=species:S:1:pos:R:3 pbc="T T T"
Pm 0.000 0.000 0.000
Ti 3.407 3.407 3.407
Pd 1.703 1.703 1.703
Pd 5.110 5.110 5.110
```

Calculated values
- energy (eV per atom) = -6.211
- volume (Å³/f.u.) = 79

---

4.
A plane-wave DFT calculation with PBE-GGA was carried out for a geometry-optimized PmTiPd2 structure.

extended XYZ file:
```
4
Lattice="3.240 0.000 0.000 0.000 3.240 0.000 0.000 0.000 7.343" Properties=species:S:1:pos:R:3 pbc="T T T"
Pm 0.000 0.000 0.000
Ti 0.000 0.000 3.672
Pd 1.620 1.620 2.231
Pd 1.620 1.620 5.112
```

Calculated values
- energy (eV per atom) = -6.351
- volume (Å³/f.u.) = 77

---

5.
A plane-wave DFT calculation with PBE-GGA was carried out for a geometry-optimized PmTiPd3 structure.

extended XYZ file:
```
10
Lattice="6.310 0.000 0.000 -3.155 5.465 0.000 0.000 0.000 5.799" Properties=species:S:1:pos:R:3 pbc="T T T"
Pm 0.000 3.643 1.450
Pm 3.155 1.822 4.349
Ti 0.000 0.000 0.000
Ti 0.000 0.000 2.900
Pd 0.000 2.083 4.349
Pd -1.351 4.424 4.349
Pd 1.804 1.041 1.450
Pd 1.351 4.424 4.349
Pd 4.507 1.041 1.450
Pd 3.155 3.382 1.450
```

Calculated values
- energy (eV per atom) = -6.231
- volume (Å³/f.u.) = 100

---

6.
A plane-wave DFT calculation with PBE-GGA was carried out for a geometry-optimized PmTiPd6 structure.

extended XYZ file:
```
8
Lattice="4.063 0.000 0.000 0.000 4.063 0.000 0.000 0.000 8.086" Properties=species:S:1:pos:R:3 pbc="T T T"
Pm 0.000 0.000 0.000
Ti 0.000 0.000 4.043
Pd 0.000 2.032 2.188
Pd 0.000 2.032 5.898
Pd 2.032 0.000 2.188
Pd 2.032 0.000 5.898
Pd 2.032 2.032 0.000
Pd 2.032 2.032 4.043
```

Calculated values
- energy (eV per atom) = -6.190
- volume (Å³/f.u.) = 134

---

7.
A plane-wave DFT calculation with PBE-GGA was carried out for a geometry-optimized Pm2TiPd9 structure.

extended XYZ file:
```
12
Lattice="4.102 0.000 0.000 0.000 4.102 0.000 0.000 0.000 12.288" Properties=species:S:1:pos:R:3 pbc="T T T"
Pm 0.000 0.000 2.126
Pm 0.000 0.000 10.162
Ti 0.000 0.000 6.144
Pd 0.000 2.051 0.000
Pd 0.000 2.051 4.315
Pd 0.000 2.051 7.973
Pd 2.051 0.000 0.000
Pd 2.051 0.000 4.315
Pd 2.051 0.000 7.973
Pd 2.051 2.051 2.157
Pd 2.051 2.051 6.144
Pd 2.051 2.051 10.131
```

Calculated values
- energy (eV per atom) = -6.081
- volume (Å³/f.u.) = 207

---

8.
A plane-wave DFT calculation with PBE-GGA was carried out for a geometry-optimized PmTiZnPd structure.

extended XYZ file:
```
4
Lattice="0.000 3.430 3.430 3.430 0.000 3.430 3.430 3.430 0.000" Properties=species:S:1:pos:R:3 pbc="T T T"
Pm 0.000 0.000 0.000
Ti 3.430 3.430 3.430
Zn 5.145 5.145 5.145
Pd 1.715 1.715 1.715
```

Calculated values
- energy (eV per atom) = -5.038
- volume (Å³/f.u.) = 81